First-principles (GGA-PBE) data for an optimized crystal structure of YTlTeF2, as listed in Alexandria. Values from VASP.

SG: P4/mmm (123)
raw formation energy: -2.3672 eV per atom
final energy: -5.51 eV/atom

The structure in Quantum ESPRESSO input format:
```
&SYSTEM
  ibrav = 0, nat = 5, ntyp = 4
/
ATOMIC_SPECIES
Y 88.91 Y.upf
Tl 204.38 Tl.upf
F 19.00 F.upf
Te 127.60 Te.upf
ATOMIC_POSITIONS angstrom
Y 0.000 0.000 0.000
Tl 2.294 2.294 3.053
F 0.000 2.294 0.000
F 2.294 0.000 0.000
Te 0.000 0.000 3.053
CELL_PARAMETERS angstrom
4.587 0.000 0.000
0.000 4.587 0.000
0.000 0.000 6.106
```



First-principles (GGA-PBE) data for an optimized crystal structure of YTlTe2F, as listed in Alexandria. Values from VASP.

SG: P4/mmm (123)
raw formation energy: -1.5014 eV per atom
final energy: -4.90 eV/atom

The structure in Quantum ESPRESSO input format:
```
&SYSTEM
  ibrav = 0, nat = 5, ntyp = 4
/
ATOMIC_SPECIES
Te 127.60 Te.upf
Y 88.91 Y.upf
F 19.00 F.upf
Tl 204.38 Tl.upf
ATOMIC_POSITIONS angstrom
Te 3.044 0.000 0.000
Te 0.000 3.044 0.000
Y 0.000 0.000 0.000
F 0.000 0.000 2.161
Tl 3.044 3.044 2.161
CELL_PARAMETERS angstrom
6.087 0.000 0.000
0.000 6.087 0.000
0.000 0.000 4.322
```



First-principles (GGA-PBE) data for an optimized crystal structure of TmTeF2, as listed in Alexandria. Values from VASP.

SG: Cmcm (63)
raw formation energy: -2.9371 eV per atom
final energy: -5.78 eV/atom

The structure in Quantum ESPRESSO input format:
```
&SYSTEM
  ibrav = 0, nat = 8, ntyp = 3
/
ATOMIC_SPECIES
F 19.00 F.upf
Tm 168.93 Tm.upf
Te 127.60 Te.upf
ATOMIC_POSITIONS angstrom
F 2.105 -4.502 1.358
F 1.496 -6.375 2.692
F 1.147 -2.232 -1.784
F 0.538 -4.104 -0.450
Tm 0.556 -6.050 0.599
Tm 2.087 -2.557 0.309
Te -1.047 -4.013 2.726
Te 3.690 -4.593 -1.818
CELL_PARAMETERS angstrom
-1.593 -1.671 -3.072
5.927 -1.732 0.273
-1.691 -5.203 3.707
```



First-principles (GGA-PBE) data for an optimized crystal structure of UTeF, as listed in Alexandria. Values from VASP.

SG: P-1 (2)
raw formation energy: -1.7934 eV per atom
final energy: -7.23 eV/atom
distance to the lowest polymorph of the same formula: 53 meV/atom

The structure in Quantum ESPRESSO input format:
```
&SYSTEM
  ibrav = 0, nat = 6, ntyp = 3
/
ATOMIC_SPECIES
F 19.00 F.upf
U 238.03 U.upf
Te 127.60 Te.upf
ATOMIC_POSITIONS angstrom
F 5.869 -6.111 -0.330
F -1.036 -2.150 2.184
U -0.269 -4.444 1.260
U 5.102 -3.817 0.593
Te 2.806 -5.846 1.362
Te 2.026 -2.415 0.491
CELL_PARAMETERS angstrom
-0.898 -1.737 3.594
-1.436 -3.342 -1.985
7.167 -3.182 0.244
```



First-principles (GGA-PBE) data for an optimized crystal structure of UTeF2, as listed in Alexandria. Values from VASP.

SG: Cmcm (63)
raw formation energy: -2.3775 eV per atom
final energy: -6.92 eV/atom

The structure in Quantum ESPRESSO input format:
```
&SYSTEM
  ibrav = 0, nat = 8, ntyp = 3
/
ATOMIC_SPECIES
F 19.00 F.upf
Te 127.60 Te.upf
U 238.03 U.upf
ATOMIC_POSITIONS angstrom
F 2.002 2.224 0.530
F 2.002 2.224 3.106
F 0.000 3.418 6.742
F 0.000 3.418 4.166
Te 0.000 0.336 5.454
Te 2.002 5.306 1.818
U 2.002 2.805 5.454
U 0.000 2.837 1.818
CELL_PARAMETERS angstrom
4.003 0.000 0.000
-2.002 5.642 0.000
0.000 0.000 7.272
```



First-principles (GGA-PBE) data for an optimized crystal structure of UTeF, as listed in Alexandria. Values from VASP.

SG: I4mm (107)
raw formation energy: -1.4576 eV per atom
final energy: -6.89 eV/atom
distance to the lowest polymorph of the same formula: 389 meV/atom

The structure in Quantum ESPRESSO input format:
```
&SYSTEM
  ibrav = 0, nat = 3, ntyp = 3
/
ATOMIC_SPECIES
F 19.00 F.upf
U 238.03 U.upf
Te 127.60 Te.upf
ATOMIC_POSITIONS angstrom
F 0.000 0.000 3.053
U 1.763 1.763 2.086
Te 0.000 0.000 0.136
CELL_PARAMETERS angstrom
3.526 0.000 0.000
0.000 3.526 0.000
-1.763 -1.763 5.275
```



First-principles (GGA-PBE) data for an optimized crystal structure of UTeF, as listed in Alexandria. Values from VASP.

SG: P-6m2 (187)
raw formation energy: -1.8468 eV per atom
final energy: -7.28 eV/atom
distance to the lowest polymorph of the same formula: 0 meV/atom

The structure in Quantum ESPRESSO input format:
```
&SYSTEM
  ibrav = 0, nat = 3, ntyp = 3
/
ATOMIC_SPECIES
F 19.00 F.upf
U 238.03 U.upf
Te 127.60 Te.upf
ATOMIC_POSITIONS angstrom
F -1.135 -1.738 1.480
U -0.494 0.355 0.389
Te -3.737 0.024 0.589
CELL_PARAMETERS angstrom
-2.962 2.126 2.333
-2.882 -0.696 -3.026
0.479 -2.791 3.151
```